<1>
Density functional theory data (PBE) for YGeS3 after structural relaxation.

```
YGeS3
1.0
6.581 0.000 0.004
0.000 7.123 0.000
-0.376 0.000 9.689
Ge Y S
4 4 12
Direct
0.916 0.889 0.568
0.584 0.389 0.932
0.084 0.111 0.432
0.416 0.611 0.068
0.055 0.377 0.756
0.555 0.123 0.256
0.945 0.623 0.244
0.445 0.877 0.744
0.658 0.833 0.082
0.158 0.667 0.582
0.666 0.530 0.737
0.334 0.470 0.263
0.166 0.970 0.237
0.344 0.198 0.571
0.834 0.030 0.763
0.844 0.302 0.071
0.156 0.698 0.929
0.842 0.333 0.418
0.656 0.802 0.429
0.342 0.167 0.918
```

Output
Its crystal system is monoclinic. Its total moment is 0.0 Bohr magnetons per cell.

=====

<2>
Density functional theory data (PBE) for YGeS3 after structural relaxation.

```
YGeS3
1.0
6.611 0.000 0.000
0.000 6.924 0.000
0.000 0.000 10.906
Ge S Y
4 12 4
Direct
0.539 0.082 0.566
0.961 0.582 0.566
0.039 0.418 0.066
0.461 0.918 0.066
0.248 0.841 0.569
0.242 0.159 0.171
0.752 0.159 0.069
0.252 0.341 0.569
0.758 0.841 0.671
0.172 0.404 0.874
0.672 0.096 0.374
0.828 0.596 0.374
0.742 0.341 0.671
0.258 0.659 0.171
0.748 0.659 0.069
0.328 0.904 0.874
0.067 0.099 0.731
0.567 0.401 0.231
0.433 0.599 0.731
0.933 0.901 0.231
```

Output
Its crystal system is orthorhombic. Its total moment is 0.0 Bohr magnetons per cell.

=====

<3>
Density functional theory data (PBE) for YGeS3 after structural relaxation.

```
YGeS3
1.0
5.201 0.000 0.000
0.000 5.201 0.000
0.000 0.000 5.201
Y S Ge
1 3 1
Direct
0.000 0.000 0.000
0.000 0.500 0.000
0.000 0.000 0.500
0.500 0.000 0.000
0.500 0.500 0.500
```

Output
Its crystal system is cubic. Its total moment is 0.0 Bohr magnetons per cell.

=====

<1> wins, 6.4 kJ/mol of atoms ahead of the next structure.

=====

<1>
Density functional theory data (PBE) for Y4GeS2 after structural relaxation.

```
Y4GeS2
1.0
-4.485 2.781 1.083
-2.016 -1.381 -4.801
-6.094 -4.990 0.971
Y S Ge
4 2 1
Direct
0.788 0.788 0.424
0.000 0.500 0.000
0.500 0.000 0.000
0.212 0.212 0.576
0.605 0.605 0.791
0.395 0.395 0.209
0.000 0.000 0.000
```

Output
Its crystal system is tetragonal. Its total moment is 0.0 Bohr magnetons per cell.

=====

<2>
Density functional theory data (PBE) for Y4GeS2 after structural relaxation.

```
Y4GeS2
1.0
-2.723 2.881 1.030
-5.132 -4.795 -0.154
1.867 -2.370 11.564
Ge Y S
2 8 4
Direct
0.000 0.500 0.000
0.000 0.000 0.500
0.500 0.261 0.454
0.000 0.383 0.216
0.000 0.117 0.716
0.500 0.239 0.954
0.000 0.883 0.284
0.000 0.617 0.784
0.500 0.761 0.046
0.500 0.739 0.546
0.500 0.397 0.686
0.500 0.103 0.186
0.500 0.897 0.814
0.500 0.603 0.314
```

Output
Its crystal system is orthorhombic. Its total moment is 0.0 Bohr magnetons per cell.

=====

<2> wins, 45.0 kJ/mol of atoms ahead of the next structure.